1.
# PBE Pu2Zn3Pt, relaxed
# V in Å³/cell: 341.0
# Density of states at the Fermi level in states/eV/f.u.: 15.5
# Magnetization in μB per formula unit: 11.4
# Uncorrected energy in eV per cell: -122.26
data_Pu2Zn3Pt
_chemical_formula_sum 'Pu6 Zn9 Pt3'
_space_group_name_H-M_alt 'R -3 m'
_space_group_IT_number 166
_space_group_name_Hall '-R 3 2"'
_cell_length_a 5.3560
_cell_length_b 5.3560
_cell_length_c 13.7311
_cell_angle_alpha 90.00
_cell_angle_beta 90.00
_cell_angle_gamma 120.00
loop_
_atom_site_label
_atom_site_fract_x
_atom_site_fract_y
_atom_site_fract_z
Pu1 0.0000 0.0000 0.1284
Zn1 0.0000 0.5000 0.0000
Pt1 0.0000 0.0000 0.5000

2.
# PBE VS3I, relaxed
# V in Å³/cell: 100.6
# Distance to the lowest polymorph of the same formula in meV per atom: 395.1
# Density of states at the Fermi level in states/eV/f.u.: 5.0
# Magnetization in μB per formula unit: 0.0
# Raw formation energy in meV per atom: 32
data_VS3I
_chemical_formula_sum 'V1 S3 I1'
_space_group_name_H-M_alt 'P m -3 m'
_space_group_IT_number 221
_space_group_name_Hall '-P 4 2 3'
_cell_length_a 4.6503
_cell_length_b 4.6503
_cell_length_c 4.6503
_cell_angle_alpha 90.00
_cell_angle_beta 90.00
_cell_angle_gamma 90.00
loop_
_atom_site_label
_atom_site_fract_x
_atom_site_fract_y
_atom_site_fract_z
V1 0.0000 0.0000 0.0000
S1 0.0000 0.0000 0.5000
I1 0.5000 0.5000 0.5000

3.
# PBE VPdAu2, relaxed
# V in Å³/cell: 129.8
# Distance to the lowest polymorph of the same formula in meV per atom: 88.2
# Density of states at the Fermi level in states/eV/f.u.: 3.7
# Magnetization in μB per formula unit: 0.0
data_VPdAu2
_chemical_formula_sum 'V2 Pd2 Au4'
_space_group_name_H-M_alt 'C 1 m 1'
_space_group_IT_number 8
_space_group_name_Hall 'C -2y'
_cell_length_a 4.9717
_cell_length_b 2.8823
_cell_length_c 9.2102
_cell_angle_alpha 90.00
_cell_angle_beta 100.32
_cell_angle_gamma 90.00
loop_
_atom_site_label
_atom_site_fract_x
_atom_site_fract_y
_atom_site_fract_z
V1 0.0000 0.0000 0.0000
Pd1 0.1663 0.0000 0.5004
Au1 0.0853 0.5000 0.7599
Au2 0.2452 0.5000 0.2402

4.
# PBE ScFe2Cu, relaxed
# V in Å³/cell: 110.9
# Density of states at the Fermi level in states/eV/f.u.: 4.4
# Magnetization in μB per formula unit: 4.2
# Uncorrected energy in eV per cell: -54.50
data_ScFe2Cu
_chemical_formula_sum 'Sc2 Fe4 Cu2'
_space_group_name_H-M_alt 'I -4 m 2'
_space_group_IT_number 119
_space_group_name_Hall 'I -4 -2'
_cell_length_a 3.7981
_cell_length_b 3.7981
_cell_length_c 7.6859
_cell_angle_alpha 90.00
_cell_angle_beta 90.00
_cell_angle_gamma 90.00
loop_
_atom_site_label
_atom_site_fract_x
_atom_site_fract_y
_atom_site_fract_z
Sc1 0.0000 0.0000 0.0000
Fe1 0.0000 0.0000 0.5000
Fe2 0.0000 0.5000 0.7500
Cu1 0.0000 0.5000 0.2500

5.
# PBE InSn3Pb3, relaxed
# V in Å³/cell: 1234.3
# Distance to the lowest polymorph of the same formula in meV per atom: 0.0
# Density of states at the Fermi level in states/eV/f.u.: 3.5
# Magnetization in μB per formula unit: 0.0
data_InSn3Pb3
_chemical_formula_sum 'In6 Sn18 Pb18'
_space_group_name_H-M_alt 'R -3'
_space_group_IT_number 148
_space_group_name_Hall '-R 3'
_cell_length_a 9.1276
_cell_length_b 9.1276
_cell_length_c 17.1073
_cell_angle_alpha 90.00
_cell_angle_beta 90.00
_cell_angle_gamma 120.00
loop_
_atom_site_label
_atom_site_fract_x
_atom_site_fract_y
_atom_site_fract_z
In1 0.0000 0.0000 0.2476
Sn1 0.0486 0.2316 0.9168
Pb1 0.0493 0.2450 0.4162

6.
# PBE CdMo4, relaxed
# V in Å³/cell: 195.3
# Distance to the lowest polymorph of the same formula in meV per atom: 0.0
# Density of states at the Fermi level in states/eV/f.u.: 5.4
# Magnetization in μB per formula unit: 0.0
data_CdMo4
_chemical_formula_sum 'Cd2 Mo8'
_space_group_name_H-M_alt 'I 4/m m m'
_space_group_IT_number 139
_space_group_name_Hall '-I 4 2'
_cell_length_a 4.2248
_cell_length_b 4.2248
_cell_length_c 10.9434
_cell_angle_alpha 90.00
_cell_angle_beta 90.00
_cell_angle_gamma 90.00
loop_
_atom_site_label
_atom_site_fract_x
_atom_site_fract_y
_atom_site_fract_z
Cd1 0.0000 0.0000 0.0000
Mo1 0.0000 0.0000 0.3812
Mo2 0.0000 0.5000 0.2500

7.
# PBE LiCaTlRh, relaxed
# V in Å³/cell: 316.6
# Density of states at the Fermi level in states/eV/f.u.: 1.7
# Magnetization in μB per formula unit: 0.0
# Uncorrected energy in eV per cell: -59.24
data_LiCaTlRh
_chemical_formula_sum 'Li4 Ca4 Tl4 Rh4'
_space_group_name_H-M_alt 'F -4 3 m'
_space_group_IT_number 216
_space_group_name_Hall 'F -4 2 3'
_cell_length_a 6.8159
_cell_length_b 6.8159
_cell_length_c 6.8159
_cell_angle_alpha 90.00
_cell_angle_beta 90.00
_cell_angle_gamma 90.00
loop_
_atom_site_label
_atom_site_fract_x
_atom_site_fract_y
_atom_site_fract_z
Li1 0.0000 0.0000 0.0000
Ca1 0.2500 0.2500 0.7500
Tl1 0.2500 0.2500 0.2500
Rh1 0.0000 0.0000 0.5000